5
Lattice="-4.496 0.657 1.627 0.724 -3.381 3.366 1.598 3.380 3.051" Properties=species:S:1:pos:R:3 comment="Te3WO | Alexandria | PBE with a Hubbard U | relaxed" total_energy_ev_per_fu=-18.50 pbc="T T T"
Te -2.248 0.329 0.813
Te 0.799 1.690 1.526
W -1.087 0.328 4.022
O 0.000 0.000 0.000
Te 0.362 -1.691 1.683